A relaxed SrSiAs2 crystal, computed with PBE.

abc: 4.556 4.556 8.649
angles: 90.00 90.00 90.00
Sites, in units of the cell vectors:
1 Sr 0.000 0.000 0.000
2 Sr 0.500 0.500 0.500
3 Si 0.000 0.000 0.500
4 Si 0.500 0.500 0.000
5 As 0.000 0.500 0.250
6 As 0.000 0.500 0.750
7 As 0.500 0.000 0.250
8 As 0.500 0.000 0.750

## Properties
- Total magnetization: 0.0 Bohr magnetons per cell
- Total energy: -33.41 eV for the cell shown
- Energy relative to the elements, uncorrected: -0.08 eV per atom
- Space-group type: I4/mmm (139)
- DOS(E_F): 2.194 states/eV/f.u.

A relaxed Sr2SiAs crystal, computed with PBE.

abc: 8.412 8.412 6.877
angles: 90.00 90.00 90.00
Sites, in units of the cell vectors:
1 Sr 0.239 0.250 0.125
2 Sr 0.250 0.739 0.375
3 Sr 0.250 0.761 0.875
4 Sr 0.261 0.250 0.625
5 Sr 0.739 0.750 0.625
6 Sr 0.750 0.239 0.875
7 Sr 0.750 0.261 0.375
8 Sr 0.761 0.750 0.125
9 Si 0.000 0.000 0.500
10 Si 0.000 0.500 0.750
11 Si 0.500 0.000 0.250
12 Si 0.500 0.500 0.000
13 As 0.000 0.000 0.000
14 As 0.000 0.500 0.250
15 As 0.500 0.000 0.750
16 As 0.500 0.500 0.500

## Properties
- Total magnetization: 0.0 Bohr magnetons per cell
- Total energy: -57.43 eV for the cell shown
- Energy relative to the elements, uncorrected: -0.23 eV per atom
- Space-group type: I-42d (122)
- DOS(E_F): 2.733 states/eV/f.u.

A relaxed Sr2SiAs crystal, computed with PBE.

abc: 5.092 5.460 8.773
angles: 90.00 90.00 90.00
Sites, in units of the cell vectors:
1 Sr 0.000 0.000 0.000
2 Sr 0.000 0.500 0.402
3 Sr 0.500 0.000 0.402
4 Sr 0.500 0.500 0.000
5 Si 0.000 0.000 0.653
6 Si 0.500 0.500 0.653
7 As 0.000 0.500 0.750
8 As 0.500 0.000 0.750

## Properties
- Total magnetization: 0.0 Bohr magnetons per cell
- Total energy: -28.63 eV for the cell shown
- Energy relative to the elements, uncorrected: -0.22 eV per atom
- Space-group type: Cmm2 (35)
- DOS(E_F): 2.037 states/eV/f.u.

A relaxed Sr3SiAs4 crystal, computed with PBE.

abc: 8.412 10.621 9.820
angles: 90.00 90.00 90.00
Sites, in units of the cell vectors:
1 Sr 0.036 0.051 0.188
2 Sr 0.036 0.449 0.188
3 Sr 0.160 0.750 0.413
4 Sr 0.340 0.250 0.913
5 Sr 0.464 0.551 0.688
6 Sr 0.464 0.949 0.688
7 Sr 0.536 0.051 0.312
8 Sr 0.536 0.449 0.312
9 Sr 0.660 0.750 0.087
10 Sr 0.840 0.250 0.587
11 Sr 0.964 0.551 0.812
12 Sr 0.964 0.949 0.812
13 Si 0.232 0.250 0.450
14 Si 0.268 0.750 0.950
15 Si 0.732 0.250 0.050
16 Si 0.768 0.750 0.550
17 As 0.042 0.750 0.095
18 As 0.137 0.047 0.537
19 As 0.137 0.453 0.537
20 As 0.205 0.750 0.721
21 As 0.295 0.250 0.221
22 As 0.363 0.547 0.037
23 As 0.363 0.953 0.037
24 As 0.458 0.250 0.595
25 As 0.542 0.750 0.405
26 As 0.637 0.047 0.963
27 As 0.637 0.453 0.963
28 As 0.705 0.750 0.779
29 As 0.795 0.250 0.279
30 As 0.863 0.547 0.463
31 As 0.863 0.953 0.463
32 As 0.958 0.250 0.905

## Properties
- Total magnetization: 0.0 Bohr magnetons per cell
- Total energy: -143.55 eV for the cell shown
- Energy relative to the elements, uncorrected: -0.85 eV per atom
- Space-group type: Pnma (62)

Question: What is the formula in the third record?
Answer: Sr2SiAs